Density functional theory data (GGA+U) for an optimized crystal structure of NbCoNiO2.

The structure in extended XYZ format:
```
5
Lattice="3.884 0.000 0.000 0.000 3.884 0.000 0.000 0.000 5.017" Properties=species:S:1:pos:R:3 pbc="T T T"
Nb 0.000 0.000 0.000
Co 1.942 1.942 2.509
Ni 0.000 0.000 2.509
O 0.000 1.942 0.000
O 1.942 0.000 0.000
```

## Properties
The crystal system is tetragonal. As for the symmetry: P4/mmm, No. 123. For the total energy, the calculation gives -5.85 eV/atom.